# 1
Density functional theory data (PBE) for an optimized crystal structure of Tb2ErTm9.

Calculated values
**Offset from the most stable computed form**: 0.000 kcal/mol of atoms
**Formation enthalpy at 0 K**: 0.0638 eV/atom
**E**: -53.302 eV for the cell shown
**Spin magnetization**: 0.0 μB per cell
**Density**: 9119 kg/m3
**Density of states at the Fermi level**: 1.7298 states/eV/atom

Cell: 11.0444 11.0444 3.4570 Å, 90.00 90.00 120.00°
Space group P6/mmm (No. 191)
Asymmetric unit:
Tb: 0.3333 0.6667 0.0000
Er: 0.0000 0.0000 0.0000
Tm: 0.0000 0.5000 0.0000
Tm: 0.1760 0.3520 0.5000



# 2
Density functional theory data (PBE) for an optimized crystal structure of Cs6Al3Br14.

Calculated values
**ΔE_f (raw)**: -1441 meV/atom
**E**: -72.905 eV for the cell shown
**Spin magnetization**: 1.0 μB per cell
**Density**: 3234 kg/m3
**Density of states at the Fermi level**: 0.0873 states/eV/atom

Cell: 13.1967 13.1967 6.7982 Å, 90.00 90.00 120.00°
Space group P3 (No. 143)
Asymmetric unit:
Cs: 0.0106 0.5638 0.0000
Cs: 0.3234 0.1015 0.5382
Al: 0.0000 0.0000 0.9703
Al: 0.3333 0.6667 0.4424
Al: 0.6667 0.3333 0.2708
Br: 0.0000 0.0000 0.3122
Br: 0.0660 0.8769 0.8527
Br: 0.2108 0.4769 0.3275
Br: 0.3333 0.6667 0.7855
Br: 0.4610 0.1947 0.0522
Br: 0.5264 0.3999 0.4913



# 3
Density functional theory data (PBE) for an optimized crystal structure of RbCo2HgCl8.

Calculated values
**ΔE_f (raw)**: -793 meV/atom
**E**: -119.323 eV for the cell shown
**Spin magnetization**: 21.0 μB per cell
**Density**: 3314 kg/m3
**Density of states at the Fermi level**: 0.9619 states/eV/atom

Cell: 6.4642 6.4642 28.5596 Å, 90.00 90.00 120.00°
Space group R-3 (No. 148, hexagonal axes)
Asymmetric unit:
Rb: 0.0000 0.0000 0.0000
Co: 0.0000 0.0000 0.2471
Hg: 0.0000 0.0000 0.5000
Cl: 0.0000 0.0000 0.3234
Cl: 0.0031 0.6593 0.4435



# 4
Density functional theory data (PBE) for an optimized crystal structure of AcLa3Pr4.

Calculated values
**Offset from the most stable computed form**: 0.466 kcal/mol of atoms
**Formation enthalpy at 0 K**: 0.0361 eV/atom
**E**: -75.441 eV for the cell shown
**Spin magnetization**: 0.0 μB per cell
**Density**: 6610 kg/m3
**Density of states at the Fermi level**: 1.8045 states/eV/atom

Cell: 12.2039 7.5771 6.5596 Å, 90.00 90.00 90.00°
Space group Pmn2_1 (No. 31)
Asymmetric unit:
Ac: 0.0000 0.1270 0.0000
La: 0.0000 0.8706 0.4971
La: 0.2495 0.1274 0.6641
Pr: 0.0000 0.3791 0.4954
Pr: 0.0000 0.6248 0.9949
Pr: 0.2488 0.6219 0.6677



# 5
Density functional theory data (PBE) for an optimized crystal structure of VInI2Cl.

Calculated values
**ΔE_f (raw)**: -509 meV/atom
**E**: -19.347 eV for the cell shown
**Spin magnetization**: 3.0 μB per cell
**Density**: 4730 kg/m3
**Density of states at the Fermi level**: 0.6298 states/eV/atom

Cell: 5.7486 5.7486 4.8341 Å, 90.00 90.00 90.00°
Space group P4/mmm (No. 123)
Asymmetric unit:
V: 0.0000 0.0000 0.0000
In: 0.5000 0.5000 0.5000
I: 0.0000 0.5000 0.0000
Cl: 0.0000 0.0000 0.5000



# 6
Density functional theory data (PBE) for an optimized crystal structure of BaSrZn2Os.

Calculated values
**Formation enthalpy at 0 K**: 1.9674 eV/atom
**E**: -7.545 eV for the cell shown
**Spin magnetization**: 2.6 μB per cell
**Density**: 4097 kg/m3
**Density of states at the Fermi level**: 1.3683 states/eV/atom

Cell: 5.6527 5.6527 6.9254 Å, 90.00 90.00 90.00°
Space group P4/mmm (No. 123)
Asymmetric unit:
Ba: 0.0000 0.0000 0.0000
Sr: 0.0000 0.0000 0.5000
Zn: 0.0000 0.5000 0.0000
Os: 0.5000 0.5000 0.5000



# 7
Density functional theory data (PBE) for an optimized crystal structure of NbAl2Cu.

Calculated values
**Formation enthalpy at 0 K**: -0.2503 eV/atom
**E**: -22.652 eV for the cell shown
**Spin magnetization**: 0.0 μB per cell
**Density**: 5796 kg/m3
**Density of states at the Fermi level**: 0.4149 states/eV/atom

Cell: 2.9230 2.9230 7.0562 Å, 90.00 90.00 90.00°
Space group P4/mmm (No. 123)
Asymmetric unit:
Nb: 0.0000 0.0000 0.0000
Al: 0.5000 0.5000 0.2807
Cu: 0.0000 0.0000 0.5000



# 8
Density functional theory data (PBE) for an optimized crystal structure of Na6Se2O.

Calculated values
**ΔE_f (raw)**: -1068 meV/atom
**Offset from the most stable computed form**: 0.000 kcal/mol of atoms
**E**: -29.452 eV for the cell shown
**Spin magnetization**: 0.0 μB per cell
**Density**: 2774 kg/m3

Cell: 6.6743 6.6743 4.8390 Å, 90.00 90.00 120.00°
Space group P-3m1 (No. 164)
Asymmetric unit:
Na: 0.1727 0.3455 0.2727
Se: 0.3333 0.6667 0.7749
O: 0.0000 0.0000 0.5000



# 9
Density functional theory data (PBE) for an optimized crystal structure of SmBiIO6.

Calculated values
**ΔE_f (raw)**: -1344 meV/atom
**E**: -103.988 eV for the cell shown
**Spin magnetization**: 0.0 μB per cell
**Density**: 6959 kg/m3
**Density of states at the Fermi level**: 0.4245 states/eV/atom

Cell: 5.7702 5.7702 9.6360 Å, 90.00 90.00 120.00°
Space group P-31c (No. 163)
Asymmetric unit:
Sm: 0.3333 0.6667 0.2500
Bi: 0.0000 0.0000 0.0000
I: 0.3333 0.6667 0.7500
O: 0.0429 0.3722 0.6340



# 10
Density functional theory data (PBE) for an optimized crystal structure of NiRhSe.

Calculated values
**ΔE_f (raw)**: 103 meV/atom
**Offset from the most stable computed form**: 1.778 kcal/mol of atoms
**E**: -65.232 eV for the cell shown
**Spin magnetization**: 3.4 μB per cell
**Density**: 8079 kg/m3
**Density of states at the Fermi level**: 1.2209 states/eV/atom

Cell: 5.8262 5.8262 5.8262 Å, 90.00 90.00 90.00°
Space group F-43m (No. 216)
Asymmetric unit:
Ni: 0.0000 0.0000 0.0000
Rh: 0.2500 0.2500 0.7500
Se: 0.0000 0.0000 0.5000



# 11
Density functional theory data (PBE) for an optimized crystal structure of GaSn2I.

Calculated values
**ΔE_f (raw)**: 134 meV/atom
**Offset from the most stable computed form**: 0.000 kcal/mol of atoms
**E**: -36.139 eV for the cell shown
**Spin magnetization**: 0.0 μB per cell
**Density**: 6138 kg/m3
**Density of states at the Fermi level**: 0.7875 states/eV/atom

Cell: 3.5435 3.5435 32.3974 Å, 90.00 90.00 120.00°
Space group R-3m (No. 166, hexagonal axes)
Asymmetric unit:
Ga: 0.0000 0.0000 0.0000
Sn: 0.0000 0.0000 0.4042
I: 0.0000 0.0000 0.5000



# 12
Density functional theory data (PBE) for an optimized crystal structure of Cs4YTh3Se8.

Calculated values
**ΔE_f (raw)**: -1570 meV/atom
**E**: -255.395 eV for the cell shown
**Spin magnetization**: 0.0 μB per cell
**Density**: 5968 kg/m3
**Density of states at the Fermi level**: 0.6101 states/eV/atom

Cell: 8.5802 8.5802 25.5065 Å, 90.00 90.00 120.00°
Space group R-3m (No. 166, hexagonal axes)
Asymmetric unit:
Cs: 0.0000 0.0000 0.0000
Cs: 0.0000 0.5000 0.0000
Y: 0.0000 0.0000 0.5000
Th: 0.0000 0.5000 0.5000
Se: 0.0000 0.0000 0.2323
Se: 0.0041 0.5020 0.2307



# 13
Density functional theory data (PBE) for an optimized crystal structure of Ce2P2H4Os.

Calculated values
**E**: -105.116 eV for the cell shown
**Spin magnetization**: 0.0 μB per cell
**Density**: 7150 kg/m3
**Density of states at the Fermi level**: 0.2915 states/eV/atom

Cell: 5.5229 5.5229 8.1694 Å, 90.00 90.00 90.00°
Space group I4/mmm (No. 139)
Asymmetric unit:
Ce: 0.0000 0.5000 0.2500
P: 0.0000 0.0000 0.2063
H: 0.2221 0.2221 0.5000
Os: 0.0000 0.0000 0.5000



# 14
Density functional theory data (PBE) for an optimized crystal structure of BH2Se.

Calculated values
**Offset from the most stable computed form**: 22.712 kcal/mol of atoms
**E**: -52.618 eV for the cell shown
**Spin magnetization**: 0.0 μB per cell
**Density**: 4763 kg/m3
**Density of states at the Fermi level**: 0.2075 states/eV/atom

Cell: 3.2888 3.2888 11.8337 Å, 90.00 90.00 90.00°
Space group I4_1/amd (No. 141, origin choice 2)
Asymmetric unit:
B: 0.0000 0.2500 0.3750
H: 0.0000 0.0000 0.5000
Se: 0.0000 0.2500 0.8750



# 15
Density functional theory data (PBE) for an optimized crystal structure of PtN2OF.

Calculated values
**ΔE_f (raw)**: 2074 meV/atom
**E**: -19.152 eV for the cell shown
**Spin magnetization**: 0.2 μB per cell
**Density**: 8914 kg/m3
**Density of states at the Fermi level**: 0.5552 states/eV/atom

Cell: 3.7865 3.7865 3.3533 Å, 90.00 90.00 90.00°
Space group P4/mmm (No. 123)
Asymmetric unit:
Pt: 0.0000 0.0000 0.0000
N: 0.0000 0.5000 0.5000
O: 0.5000 0.5000 0.5000
F: 0.5000 0.5000 0.0000



# 16
Density functional theory data (PBE) for an optimized crystal structure of MgSc6Pt5.

Calculated values
**Formation enthalpy at 0 K**: -1.0721 eV/atom
**E**: -165.307 eV for the cell shown
**Spin magnetization**: 0.0 μB per cell
**Density**: 9513 kg/m3
**Density of states at the Fermi level**: 0.7472 states/eV/atom

Cell: 4.6595 6.7128 14.1683 Å, 90.00 90.00 90.00°
Space group Immm (No. 71)
Asymmetric unit:
Mg: 0.0000 0.0000 0.0000
Sc: 0.0000 0.2331 0.5000
Sc: 0.0000 0.2585 0.1710
Pt: 0.0000 0.0000 0.3234
Pt: 0.0000 0.5000 0.0000
Pt: 0.0000 0.5000 0.3520



# 17
Density functional theory data (PBE) for an optimized crystal structure of CdBr.

Calculated values
**ΔE_f (raw)**: -546 meV/atom
**E**: -7.361 eV for the cell shown
**Spin magnetization**: 0.0 μB per cell
**Density**: 5575 kg/m3
**Density of states at the Fermi level**: 0.1744 states/eV/atom

Cell: 5.8374 3.7801 5.8447 Å, 90.00 117.35 90.00°
Space group P2_1/m (No. 11)
Asymmetric unit:
Cd: 0.1178 0.2500 0.3929
Br: 0.3277 0.7500 0.1728